Density functional theory data (PBE) for a relaxed structure of CuHgP2.

a = 3.1380 Å, b = 3.1380 Å, c = 7.2619 Å
α = 90.00°, β = 90.00°, γ = 90.00°
With the nearest neighbours (Å) after each atom.
Positions (direct):
Cu 0.0000 0.0000 0.0000  5 P 2.40-2.67
Hg 0.5000 0.5000 0.2628  4 Cu 2.93, 4 Hg 3.14
P 0.0000 0.0000 0.6690  4 P 2.40, 1 Cu 2.40
P 0.5000 0.5000 0.7943  4 P 2.40, 4 Cu 2.67

## Properties
Calculated total energy (eV per atom): -3.476

=====

Density functional theory data (PBE) for a relaxed structure of CuHgP2.

a = 5.1799 Å, b = 7.2397 Å, c = 3.6696 Å
α = 90.00°, β = 90.00°, γ = 90.00°
With the nearest neighbours (Å) after each atom.
Positions (direct):
Cu 0.0000 0.0000 0.0000  2 Hg 2.59, 8 P 2.88
Cu 0.5000 0.5000 0.0000  2 Hg 2.59, 8 P 2.88
Hg 0.0000 0.5000 0.0000  2 Cu 2.59, 8 P 2.88
Hg 0.5000 0.0000 0.0000  2 Cu 2.59, 8 P 2.88
P 0.2500 0.2500 0.5000  2 P 2.59, 4 Hg 2.88, 4 Cu 2.88
P 0.2500 0.7500 0.5000  2 P 2.59, 4 Hg 2.88, 4 Cu 2.88
P 0.7500 0.2500 0.5000  2 P 2.59, 4 Hg 2.88, 4 Cu 2.88
P 0.7500 0.7500 0.5000  2 P 2.59, 4 Hg 2.88, 4 Cu 2.88

## Properties
Calculated total energy (eV per atom): -3.217